This record from Alexandria via LeMat-Bulk describes a geometry-optimized NdErZn4 structure. The functional is PBE.

Properties
- formation energy from the elements (meV/atom) = 13
- magnetic moment (μB per cell) = 0.0
- energy above the lowest structure with this stoichiometry (meV per atom) = 365

Cell lengths 3.7812, 3.7813, 9.8788 Å; angles 90.02, 90.07, 90.01 degrees
Last column: nearest neighbours and their distance in Å.
Element x y z (fractional)
1 Nd 0.0000 0.0000 0.0000  8 Zn 3.17-3.18
2 Er 0.5000 0.5000 0.5000  8 Zn 3.05
3 Zn 0.0000 0.5003 0.2577  4 Zn 2.67-2.68
4 Zn 0.0000 0.4997 0.7423  4 Zn 2.67-2.68
5 Zn 0.4995 0.9998 0.2580  4 Zn 2.67-2.68
6 Zn 0.5005 0.0002 0.7420  4 Zn 2.67-2.68